First-principles (PBE) data for a relaxed TbEuSn2 crystal, as listed in Alexandria.

```
TbEuSn2
1.0
4.4760 0.0000 0.0000
0.0000 4.9950 0.0000
0.0000 0.0000 4.9950
Tb Sn Eu
1 2 1
Cartesian
2.2380 2.4975 2.4975
0.0000 2.4975 0.0000
0.0000 0.0000 2.4975
2.2380 0.0000 0.0000
```

Values from the calculation:
formation energy from the elements: -618 meV/atom
offset from the most stable computed form: 0.038 eV/atom
SG: P4/mmm (123)


First-principles (PBE) data for a relaxed AlAgPd3 crystal, as listed in Alexandria.

```
AlAgPd3
1.0
4.8913 0.0000 0.0000
0.0000 4.8913 0.0000
0.0000 0.0000 4.8913
Pd Al Ag
3 1 1
Cartesian
0.0000 2.4456 0.0000
2.4456 0.0000 0.0000
0.0000 0.0000 2.4456
2.4456 2.4456 2.4456
0.0000 0.0000 0.0000
```

Values from the calculation:
formation energy from the elements: 969 meV/atom
offset from the most stable computed form: 1.323 eV/atom
SG: Pm-3m (221)


First-principles (PBE) data for a relaxed PaSi3Pd10 crystal, as listed in Alexandria.

```
PaSi3Pd10
1.0
7.4997 0.0000 4.3300
2.4999 7.0708 4.3300
0.0000 0.0000 8.6599
Pd Si Pa
20 6 2
Cartesian
4.2335 4.6191 4.3300
0.8668 2.4517 1.5013
3.8219 2.7025 6.6197
4.9998 1.0367 8.6599
2.6004 0.0000 1.5013
2.6440 4.3683 8.6599
5.7661 2.4517 4.3300
1.6331 4.6191 5.8313
4.9998 6.0341 8.6599
0.8668 2.4517 7.1586
1.6331 4.6191 2.8286
6.1777 4.3683 10.7001
0.0000 0.0000 3.0027
4.8993 0.0000 5.8313
6.1777 4.3683 6.6197
2.6004 0.0000 7.1586
3.8219 2.7025 10.7001
0.0000 0.0000 5.6572
7.3556 2.7025 8.6599
4.8993 0.0000 2.8286
6.1915 1.8501 10.7240
2.6164 1.8501 8.6599
3.8081 5.2207 6.5958
6.1915 1.8501 6.5958
7.3832 5.2207 8.6599
3.8081 5.2207 10.7240
7.4997 5.3031 12.9899
2.4999 1.7677 4.3300
```

Values from the calculation:
ΔE_f (raw): -0.649 eV/atom
SG: Fm-3m (225)


First-principles (PBE) data for a relaxed CaLa3Tb2Te6 crystal, as listed in Alexandria.

```
CaLa3Tb2Te6
1.0
-0.4375 3.2766 -3.0085
-7.6462 2.6839 4.0351
7.1961 3.5090 6.0955
Te La Ca Tb
6 3 1 2
Cartesian
1.3670 3.5766 0.3762
-1.7973 0.7043 1.0285
1.3731 4.5511 4.7570
0.9096 8.7652 6.0936
-2.2546 5.8928 6.7459
-2.2607 4.9184 2.3651
-4.0258 3.9372 4.8735
-4.0419 2.9802 0.5133
3.1381 5.5323 2.2486
-0.2188 1.6383 -1.5042
-0.2288 2.6520 2.9216
-0.6589 6.8175 4.2005
```

Values from the calculation:
ΔE_f (raw): -1.502 eV/atom
SG: C2/m (12)


First-principles (PBE) data for a relaxed Pm2Pa4Rh9 crystal, as listed in Alexandria.

```
Pm2Pa4Rh9
1.0
-4.3342 1.0301 -1.1031
1.6384 -4.2079 -0.8198
-5.1598 -5.0418 15.5660
Rh Pa Pm
9 4 2
Cartesian
-0.8207 -0.8019 2.4758
-2.5799 -2.5209 7.7830
-4.3392 -4.2399 13.0902
-3.3435 -5.3845 8.1090
-4.4246 -4.8670 3.2925
-5.1608 -7.1602 13.5913
-3.4310 -3.3525 10.3506
-2.6948 -1.0593 0.0518
-4.5121 -2.8350 5.5341
-0.8680 -2.9657 0.6411
-5.3945 -3.6972 8.1960
-6.9876 -5.2538 13.0020
-2.4611 -4.5223 5.4471
-4.2285 -6.2492 10.7787
-3.6272 -1.9703 2.8644
```

Values from the calculation:
formation energy from the elements: -694 meV/atom
SG: P-3m1 (164)


First-principles (PBE) data for a relaxed MnCoAg2Cl6 crystal, as listed in Alexandria.

```
MnCoAg2Cl6
1.0
-6.3453 -0.7650 1.8171
-2.2299 -5.9814 1.8442
-1.4524 -1.1115 6.6091
Cl Ag Co Mn
6 2 1 1
Cartesian
-5.5085 -5.2898 7.3323
-4.4292 -1.8821 3.2786
-7.7557 -4.4374 4.6851
-3.7509 -6.1919 4.0106
-5.6383 -1.8648 6.6436
-2.6420 -3.6183 6.2315
-5.2742 -4.1398 4.1365
-1.6658 -1.2838 5.7919
-2.7919 -2.1951 1.4751
-7.8010 -6.1202 6.6281
```

Values from the calculation:
ΔE_f (raw): -0.601 eV/atom
SG: R3 (146)


First-principles (PBE) data for a relaxed PmSm2Dy2Er2 crystal, as listed in Alexandria.

```
PmSm2Dy2Er2
1.0
3.4985 0.0000 0.0000
-1.7492 8.9680 -1.1213
0.0000 -3.1958 7.8020
Er Dy Pm Sm
2 2 1 2
Cartesian
1.7492 3.9701 2.2884
0.0000 1.8020 4.3923
0.0000 5.2511 5.0104
1.7492 0.5211 1.6702
0.0000 -1.5979 3.9010
0.0000 6.0165 -0.0823
1.7492 -0.2443 6.7629
```

Values from the calculation:
formation energy from the elements: 147 meV/atom
SG: C2/m (12)


First-principles (PBE) data for a relaxed Tl2SnPb crystal, as listed in Alexandria.

```
Tl2SnPb
1.0
0.0000 3.9084 3.9084
3.9084 0.0000 3.9084
3.9084 3.9084 0.0000
Tl Sn Pb
2 1 1
Cartesian
1.9542 1.9542 1.9542
5.8627 5.8627 5.8627
0.0000 0.0000 0.0000
3.9084 3.9084 3.9084
```

Values from the calculation:
formation energy from the elements: 64 meV/atom
offset from the most stable computed form: 0.066 eV/atom
SG: Fm-3m (225)


First-principles (PBE) data for a relaxed LaMgAgHg crystal, as listed in Alexandria.

```
LaMgAgHg
1.0
5.1914 0.0000 0.0000
2.5957 4.4959 0.0000
2.5957 1.4986 4.2388
Hg Mg Ag La
1 1 1 1
Cartesian
7.7871 4.4959 3.1791
5.1914 2.9973 2.1194
2.5957 1.4986 1.0597
0.0000 0.0000 0.0000
```

Values from the calculation:
formation energy from the elements: -392 meV/atom
SG: F-43m (216)


First-principles (PBE) data for a relaxed BeCd2Sb2 crystal, as listed in Alexandria.

```
BeCd2Sb2
1.0
-4.3378 -4.1135 -2.7965
3.4418 0.1966 -5.6279
3.2540 -4.6734 1.8268
Cd Sb Be
4 4 2
Cartesian
-0.7057 -5.1094 -2.0247
0.4321 -5.5641 -5.2146
3.0637 -3.4809 -4.5729
1.9259 -3.0262 -1.3830
-1.4145 -3.3491 -6.0481
1.4114 -1.2548 -5.7241
-2.3074 -2.6621 -2.7003
0.5185 -0.5679 -2.3763
-0.4480 -1.9585 -4.2122
0.0000 0.0000 0.0000
```

Values from the calculation:
ΔE_f (raw): 0.272 eV/atom
offset from the most stable computed form: 0.000 eV/atom
SG: P4/mbm (127)


First-principles (PBE) data for a relaxed LiAg2SbH crystal, as listed in Alexandria.

```
LiAg2SbH
1.0
-0.0551 2.6179 3.3422
-2.5648 -2.6841 2.0601
3.4977 -2.0597 1.6710
Ag Li Sb H
2 1 1 1
Cartesian
-1.2824 -1.3421 1.0301
-0.0276 1.3090 1.6711
1.7489 -1.0299 0.8355
0.4389 -1.0630 3.5367
0.0000 0.0000 0.0000
```

Values from the calculation:
SG: P4/mmm (123)
E: -3.07 eV/atom


First-principles (PBE) data for a relaxed CdS2O6 crystal, as listed in Alexandria.

```
CdS2O6
1.0
-3.8923 -3.0055 -2.8925
3.6152 -0.3409 -4.5105
0.1005 -4.0818 4.1060
O S Cd
6 2 1
Cartesian
0.4964 -1.6041 -1.6068
-2.2635 -3.9310 -1.5171
2.0439 -1.7500 -3.5375
-0.6729 -5.8242 -1.6902
2.0869 -3.4973 -1.7799
-2.2204 -5.6782 0.2405
1.8295 -2.0621 -2.0948
-2.0060 -5.3661 -1.2023
0.0000 0.0000 0.0000
```

Values from the calculation:
ΔE_f (raw): -1.007 eV/atom
offset from the most stable computed form: 0.182 eV/atom
SG: P-3m1 (164)